Record 1
Below is Al2AuCl after structural relaxation, with properties calculated at the PBE-GGA level.

The structure belongs to space group R3m (No. 160, hexagonal axes); the cell edges are 3.1894, 3.1894 and 28.8813 Å and the angles 90.00°, 90.00° and 120.00°. The inequivalent atoms are Al at (0.0000, 0.0000, 0.0000), Al at (0.0000, 0.0000, 0.2615), Au at (0.0000, 0.0000, 0.7296) and Cl at (0.0000, 0.0000, 0.5370).

The spin magnetization is 0.0 μB/f.u.

---

Record 2
Below is BaGeIrO6 after structural relaxation, with properties calculated at the PBE-GGA level.

The structure belongs to space group P312 (No. 149); the cell edges are 5.1965, 5.1965 and 5.8356 Å and the angles 90.00°, 90.00° and 120.00°. The inequivalent atoms are Ba at (0.0000, 0.0000, 0.0000), Ge at (0.3333, 0.6667, 0.5000), Ir at (0.6667, 0.3333, 0.5000) and O at (0.0033, 0.3877, 0.6862).

The spin magnetization is 2.4 μB/f.u.

---

Per-record volume, A^3/atom: 21.20; 15.16
Per-record formation energy without anion corrections, meV per atom: -304.5; -1527.0
Per-record theoretical density, g/cm³: 5.61; 6.06